# 1
Density functional theory data (GGA-PBE) for SrTa2Ru after structural relaxation.

The structure in CIF format:
```
data_SrTa2Ru
_cell_length_a 4.035
_cell_length_b 4.035
_cell_length_c 5.013
_cell_angle_alpha 90.00
_cell_angle_beta 90.00
_cell_angle_gamma 90.00
_space_group_name_H-M_alt 'P 4/m m m'
_space_group_IT_number 123
_space_group_name_Hall '-P 4 2'
loop_
_atom_site_label
_atom_site_fract_x
_atom_site_fract_y
_atom_site_fract_z
Sr1 0.000 0.000 0.000
Ta1 0.000 0.500 0.500
Ru1 0.500 0.500 0.000
```

Summary:
relative energy among the computed polymorphs: 64.9 kJ per mole of atoms

=====

# 2
Density functional theory data (GGA-PBE) for SrTaRu after structural relaxation.

The structure in CIF format:
```
data_SrTaRu
_cell_length_a 3.391
_cell_length_b 3.391
_cell_length_c 12.414
_cell_angle_alpha 90.00
_cell_angle_beta 90.00
_cell_angle_gamma 90.00
_space_group_name_H-M_alt 'I 4 m m'
_space_group_IT_number 107
_space_group_name_Hall 'I 4 -2'
loop_
_atom_site_label
_atom_site_fract_x
_atom_site_fract_y
_atom_site_fract_z
Sr1 0.000 0.000 0.000
Ta1 0.000 0.000 0.722
Ru1 0.000 0.000 0.297
```

Summary:
relative energy among the computed polymorphs: 0.0 kJ per mole of atoms

=====

# 3
Density functional theory data (GGA-PBE) for Sr2TaRu after structural relaxation.

The structure in CIF format:
```
data_Sr2TaRu
_cell_length_a 4.354
_cell_length_b 4.417
_cell_length_c 10.256
_cell_angle_alpha 90.00
_cell_angle_beta 90.00
_cell_angle_gamma 90.00
_space_group_name_H-M_alt 'C m m m'
_space_group_IT_number 65
_space_group_name_Hall '-C 2 2'
loop_
_atom_site_label
_atom_site_fract_x
_atom_site_fract_y
_atom_site_fract_z
Sr1 0.000 0.000 0.224
Ta1 0.000 0.500 0.500
Ru1 0.000 0.500 0.000
```

Summary:
relative energy among the computed polymorphs: 77.1 kJ per mole of atoms

=====

# 4
Density functional theory data (GGA-PBE) for Sr4TaRu after structural relaxation.

The structure in CIF format:
```
data_Sr4TaRu
_cell_length_a 9.245
_cell_length_b 9.245
_cell_length_c 9.245
_cell_angle_alpha 90.00
_cell_angle_beta 90.00
_cell_angle_gamma 90.00
_space_group_name_H-M_alt 'F -4 3 m'
_space_group_IT_number 216
_space_group_name_Hall 'F -4 2 3'
loop_
_atom_site_label
_atom_site_fract_x
_atom_site_fract_y
_atom_site_fract_z
Sr1 0.125 0.125 0.125
Ta1 0.250 0.250 0.750
Ru1 0.000 0.000 0.500
```

=====

# 5
Density functional theory data (GGA-PBE) for Sr2TaRu after structural relaxation.

The structure in CIF format:
```
data_Sr2TaRu
_cell_length_a 7.366
_cell_length_b 4.254
_cell_length_c 9.198
_cell_angle_alpha 90.00
_cell_angle_beta 105.63
_cell_angle_gamma 90.00
_space_group_name_H-M_alt 'C 1 m 1'
_space_group_IT_number 8
_space_group_name_Hall 'C -2y'
loop_
_atom_site_label
_atom_site_fract_x
_atom_site_fract_y
_atom_site_fract_z
Sr1 0.000 0.000 0.000
Sr2 0.186 0.000 0.552
Ta1 0.257 0.500 0.269
Ru1 0.432 0.000 0.293
```

Summary:
relative energy among the computed polymorphs: 0.0 kJ per mole of atoms

=====

# 6
Density functional theory data (GGA-PBE) for SrTa2Ru after structural relaxation.

The structure in CIF format:
```
data_SrTa2Ru
_cell_length_a 10.086
_cell_length_b 3.221
_cell_length_c 6.019
_cell_angle_alpha 90.00
_cell_angle_beta 104.18
_cell_angle_gamma 90.00
_space_group_name_H-M_alt 'C 1 m 1'
_space_group_IT_number 8
_space_group_name_Hall 'C -2y'
loop_
_atom_site_label
_atom_site_fract_x
_atom_site_fract_y
_atom_site_fract_z
Sr1 0.000 0.000 0.000
Ta1 0.204 0.000 0.631
Ta2 0.467 0.000 0.479
Ru1 0.262 0.500 0.346
```

Summary:
relative energy among the computed polymorphs: 24.6 kJ per mole of atoms

=====

no.,N(E_F) (states/eV/cell),energy relative to the elements (kcal/mol of atoms)
1,4.908,21.76
2,9.528,5.96
3,10.593,23.60
4,42.315,36.92
5,11.446,5.19
6,11.026,12.14